# 1
Crystalline NaY2PuTe4 at its relaxed geometry, computed with GGA-PBE.

- Space group: P2/m, No. 10
- ΔE_f (raw): -1.27 eV per atom
- Density: 6.5 g/cm3
- Volume: 245.9 Å³/f.u.
- Size of the total moment: 6.1 μB/f.u.

Structure (extended XYZ):
```
8
Lattice="4.393 0.000 0.000 0.000 7.654 0.160 0.000 -2.686 7.256" Properties=species:S:1:pos:R:3 pbc="T T T"
Te 2.196 1.236 1.913
Pu 2.196 3.827 0.080
Na 0.000 0.000 0.000
Te 2.196 3.732 5.503
Y 2.196 -1.343 3.628
Y 0.000 2.484 3.708
Te 0.000 5.072 1.973
Te 0.000 -0.104 5.444
```

---

# 2
Crystalline NaYPu2Te4 at its relaxed geometry, computed with GGA-PBE.

- Space group: P2/m, No. 10
- ΔE_f (raw): -1.14 eV per atom
- Density: 7.4 g/cm3
- Volume: 249.8 Å³/f.u.
- Size of the total moment: 0.2 μB/f.u.

Structure (extended XYZ):
```
8
Lattice="-3.107 -1.739 2.647 5.362 -1.151 5.538 -3.130 6.937 0.884" Properties=species:S:1:pos:R:3 pbc="T T T"
Te 0.123 3.496 6.161
Na 1.127 -1.445 4.093
Y 0.000 0.000 0.000
Te -1.041 4.934 2.020
Pu -3.119 2.599 1.765
Te -0.999 0.550 2.908
Te 3.273 0.852 4.402
Pu 1.116 2.893 3.211
```

---

For the records above, the corresponding electronic total energy values read -6.41; -7.27 eV per atom.